Here is a geometry-optimized Co2Cl2O structure from the Open Quantum Materials Database. Energies are from PBE with a Hubbard U.

The space group is Ibam (No. 72) and the conventional cell measures 5.717, 9.436 and 5.944 Å, with angles of 90.00, 90.00 and 90.00 degrees. Symmetry generates all atoms from Co at (0.181, 0.096, 0.000), Cl at (0.090, 0.341, 0.000) and O at (0.000, 0.000, 0.250).

For the total energy, the calculation gives -4.546 eV/atom.